Crystalline PuThPd2 at its relaxed geometry. Source: Alexandria, functional PBE.

Results
theoretical density	12.68	g/cm³
energy above the most stable polymorph in this dataset	0	meV/atom

abc: 6.0090 4.9525 6.4283
angles: 90.00 109.46 90.00
Space group P2_1/m (No. 11)
Symmetry-distinct sites (fractional):
Pu1 0.1490 0.2500 0.4146 [2 per cell]
Th1 0.2988 0.7500 0.1452 [2 per cell]
Pd1 0.2038 0.2500 0.8831 [2 per cell]
Pd2 0.3828 0.7500 0.6912 [2 per cell]